A) Here is a relaxed structure of AcNd2Pu from Alexandria via LeMat-Bulk. Energies are from GGA-PBE.

Unit cell a=12.145 b=12.145 c=12.145 alpha=17.65 beta=17.65 gamma=17.65
Fractional coordinates of all 4 atoms:
Ac1 0.000 0.000 0.000
Nd1 0.245 0.245 0.245
Nd2 0.422 0.422 0.422
Pu1 0.834 0.834 0.834

***

B) Here is a relaxed structure of AcNd2Pu from Alexandria via LeMat-Bulk. Energies are from GGA-PBE.

Unit cell a=5.888 b=5.888 c=5.888 alpha=60.00 beta=60.00 gamma=60.00
Fractional coordinates of all 4 atoms:
Ac1 0.000 0.000 0.000
Nd1 0.250 0.250 0.250
Nd2 0.750 0.750 0.750
Pu1 0.500 0.500 0.500

***

Stability, lowest: B)

***

A) Here is a relaxed structure of AcNd2Rh2 from Alexandria via LeMat-Bulk. Energies are from GGA-PBE.

Unit cell a=7.029 b=7.029 c=10.505 alpha=90.00 beta=90.00 gamma=146.80
Fractional coordinates of all 10 atoms:
Ac1 0.096 0.904 0.750
Ac2 0.904 0.096 0.250
Nd1 0.357 0.643 0.572
Nd2 0.357 0.643 0.928
Nd3 0.643 0.357 0.072
Nd4 0.643 0.357 0.428
Rh1 0.000 0.000 0.000
Rh2 0.000 0.000 0.500
Rh3 0.240 0.760 0.250
Rh4 0.760 0.240 0.750

***

B) Here is a relaxed structure of AcNd2Rh2 from Alexandria via LeMat-Bulk. Energies are from GGA-PBE.

Unit cell a=7.121 b=7.121 c=7.121 alpha=141.63 beta=141.63 gamma=55.39
Fractional coordinates of all 5 atoms:
Ac1 0.000 0.000 0.000
Nd1 0.250 0.750 0.500
Nd2 0.750 0.250 0.500
Rh1 0.395 0.395 0.000
Rh2 0.605 0.605 0.000

***

Stability, lowest: B)

***

A) Here is a relaxed structure of AcNdRu from Alexandria via LeMat-Bulk. Energies are from GGA-PBE.

Unit cell a=6.601 b=6.601 c=6.601 alpha=75.61 beta=75.61 gamma=75.61
Fractional coordinates of all 9 atoms:
Ac1 0.000 0.000 0.000
Ac2 0.334 0.334 0.334
Ac3 0.666 0.666 0.666
Nd1 0.166 0.834 0.500
Nd2 0.500 0.166 0.834
Nd3 0.834 0.500 0.166
Ru1 0.000 0.333 0.667
Ru2 0.333 0.667 0.000
Ru3 0.667 0.000 0.333

***

B) Here is a relaxed structure of AcNdRu from Alexandria via LeMat-Bulk. Energies are from GGA-PBE.

Unit cell a=7.472 b=7.472 c=7.472 alpha=152.02 beta=152.02 gamma=39.99
Fractional coordinates of all 3 atoms:
Ac1 0.000 0.000 0.000
Nd1 0.753 0.753 0.000
Ru1 0.368 0.368 0.000

***

Stability, lowest: A)

***

A) Here is a relaxed structure of AcNdRu from Alexandria via LeMat-Bulk. Energies are from GGA-PBE.

Unit cell a=4.238 b=4.238 c=6.470 alpha=90.00 beta=90.00 gamma=120.00
Fractional coordinates of all 3 atoms:
Ac1 0.000 0.000 0.000
Nd1 0.333 0.667 0.533
Ru1 0.667 0.333 0.756

***

B) Here is a relaxed structure of AcNdRu from Alexandria via LeMat-Bulk. Energies are from GGA-PBE.

Unit cell a=5.061 b=5.061 c=5.061 alpha=60.00 beta=60.00 gamma=60.00
Fractional coordinates of all 3 atoms:
Ac1 0.000 0.000 0.000
Nd1 0.500 0.500 0.500
Ru1 0.750 0.750 0.750

***

Stability, lowest: B)

***

A) Here is a relaxed structure of AcNdRu from Alexandria via LeMat-Bulk. Energies are from GGA-PBE.

Unit cell a=4.090 b=6.390 c=7.811 alpha=81.99 beta=74.97 gamma=71.37
Fractional coordinates of all 6 atoms:
Ac1 0.196 0.231 0.376
Ac2 0.804 0.769 0.624
Nd1 0.415 0.293 0.877
Nd2 0.585 0.707 0.123
Ru1 0.134 0.854 0.877
Ru2 0.866 0.146 0.123

***

B) Here is a relaxed structure of AcNdRu from Alexandria via LeMat-Bulk. Energies are from GGA-PBE.

Unit cell a=6.685 b=4.284 c=7.386 alpha=90.00 beta=111.14 gamma=90.00
Fractional coordinates of all 6 atoms:
Ac1 0.248 0.000 0.254
Ac2 0.752 0.000 0.746
Nd1 0.274 0.499 0.758
Nd2 0.726 0.499 0.242
Ru1 0.500 0.499 0.500
Ru2 0.500 0.998 0.000

***

Stability, lowest: A)

***

A) Here is a relaxed structure of Ac2NdRu from Alexandria via LeMat-Bulk. Energies are from GGA-PBE.

Unit cell a=6.861 b=6.861 c=10.119 alpha=90.00 beta=90.00 gamma=145.12
Fractional coordinates of all 8 atoms:
Ac1 0.142 0.858 0.571
Ac2 0.142 0.858 0.929
Ac3 0.858 0.142 0.071
Ac4 0.858 0.142 0.429
Nd1 0.405 0.595 0.750
Nd2 0.595 0.405 0.250
Ru1 0.245 0.755 0.250
Ru2 0.755 0.245 0.750

***

B) Here is a relaxed structure of Ac2NdRu from Alexandria via LeMat-Bulk. Energies are from GGA-PBE.

Unit cell a=10.065 b=10.065 c=10.065 alpha=23.52 beta=23.52 gamma=23.52
Fractional coordinates of all 4 atoms:
Ac1 0.224 0.224 0.224
Ac2 0.776 0.776 0.776
Nd1 0.000 0.000 0.000
Ru1 0.500 0.500 0.500

***

C) Here is a relaxed structure of Ac2NdRu from Alexandria via LeMat-Bulk. Energies are from GGA-PBE.

Unit cell a=7.032 b=7.032 c=7.032 alpha=144.53 beta=132.31 gamma=60.82
Fractional coordinates of all 4 atoms:
Ac1 0.164 0.164 0.000
Ac2 0.836 0.836 0.000
Nd1 0.500 0.500 0.000
Ru1 0.000 0.500 0.500

***

Stability, lowest: B)

***

A) Here is a relaxed structure of Ac2Nd3S8 from Alexandria via LeMat-Bulk. Energies are from GGA-PBE.

Unit cell a=8.383 b=8.383 c=7.022 alpha=107.57 beta=107.57 gamma=60.73
Fractional coordinates of all 13 atoms:
Ac1 0.230 0.230 0.152
Ac2 0.770 0.770 0.848
Nd1 0.237 0.763 0.500
Nd2 0.500 0.500 0.000
Nd3 0.763 0.237 0.500
S1 0.122 0.122 0.441
S2 0.153 0.604 0.089
S3 0.389 0.389 0.572
S4 0.396 0.847 0.911
S5 0.604 0.153 0.089
S6 0.611 0.611 0.428
S7 0.847 0.396 0.911
S8 0.878 0.878 0.559

***

B) Here is a relaxed structure of Ac2Nd3S8 from Alexandria via LeMat-Bulk. Energies are from GGA-PBE.

Unit cell a=8.787 b=8.787 c=4.822 alpha=90.00 beta=90.00 gamma=110.07
Fractional coordinates of all 13 atoms:
Ac1 0.236 0.764 0.000
Ac2 0.764 0.236 0.000
Nd1 0.214 0.214 0.500
Nd2 0.500 0.500 0.000
Nd3 0.786 0.786 0.500
S1 0.121 0.879 0.500
S2 0.146 0.384 0.000
S3 0.384 0.146 0.000
S4 0.385 0.615 0.500
S5 0.615 0.385 0.500
S6 0.616 0.854 0.000
S7 0.854 0.616 0.000
S8 0.879 0.121 0.500

***

Stability, lowest: B)

***

A) Here is a relaxed structure of AcNdS2 from Alexandria via LeMat-Bulk. Energies are from GGA-PBE.

Unit cell a=4.157 b=4.157 c=13.963 alpha=90.00 beta=90.00 gamma=120.00
Fractional coordinates of all 8 atoms:
Ac1 0.333 0.667 0.250
Ac2 0.667 0.333 0.750
Nd1 0.000 0.000 0.000
Nd2 0.000 0.000 0.500
S1 0.333 0.667 0.616
S2 0.333 0.667 0.884
S3 0.667 0.333 0.116
S4 0.667 0.333 0.384

***

B) Here is a relaxed structure of AcNdS2 from Alexandria via LeMat-Bulk. Energies are from GGA-PBE.

Unit cell a=7.645 b=7.645 c=7.645 alpha=31.10 beta=31.10 gamma=31.10
Fractional coordinates of all 4 atoms:
Ac1 0.000 0.000 0.000
Nd1 0.177 0.177 0.177
S1 0.582 0.582 0.582
S2 0.761 0.761 0.761

***

C) Here is a relaxed structure of AcNdS2 from Alexandria via LeMat-Bulk. Energies are from GGA-PBE.

Unit cell a=9.108 b=9.108 c=9.108 alpha=26.81 beta=26.81 gamma=26.81
Fractional coordinates of all 4 atoms:
Ac1 0.000 0.000 0.000
Nd1 0.500 0.500 0.500
S1 0.110 0.110 0.110
S2 0.890 0.890 0.890

***

D) Here is a relaxed structure of AcNdS2 from Alexandria via LeMat-Bulk. Energies are from GGA-PBE.

Unit cell a=3.998 b=3.998 c=7.693 alpha=90.00 beta=90.00 gamma=120.00
Fractional coordinates of all 4 atoms:
Ac1 0.000 0.000 0.000
Nd1 0.000 0.000 0.500
S1 0.333 0.667 0.731
S2 0.667 0.333 0.269

***

Stability, lowest: C)